Entry 1:
A plane-wave DFT calculation with PBEsol was carried out for a relaxed Sr2TcCl crystal.

Results
- SG: Cmmm
- ΔE to the lowest computed polymorph: 0 meV per atom

Unit cell a=3.4712 b=3.4712 c=8.2908 alpha=90.00 beta=90.00 gamma=90.10
Closest atoms and distances in Å follow each position.
Atoms (fractional coordinates):
Cl 0.5000 0.5000 0.0000  8 Sr 3.27, 4 Cl 3.47
Tc 0.5000 0.5000 0.5000  8 Sr 3.16, 4 Tc 3.47
Sr 0.0000 0.0000 0.2603  4 Tc 3.16, 4 Cl 3.27, 4 Sr 3.47
Sr 0.0000 0.0000 0.7397  4 Tc 3.16, 4 Cl 3.27, 4 Sr 3.47

=====

Entry 2:
A plane-wave DFT calculation with PBEsol was carried out for a relaxed SrTcCl3 crystal.

Results
- SG: Pm-3m

Unit cell a=5.5219 b=5.5219 c=5.5219 alpha=90.00 beta=90.00 gamma=90.00
Closest atoms and distances in Å follow each position.
Atoms (fractional coordinates):
Sr 0.0000 0.0000 0.0000  6 Cl 2.76
Cl 0.5000 0.0000 0.0000  2 Sr 2.76
Cl 0.0000 0.5000 0.0000  2 Sr 2.76
Cl 0.0000 0.0000 0.5000  2 Sr 2.76
Tc 0.5000 0.5000 0.5000  12 Cl 3.90

=====

no.,ΔE_f (raw) (meV/atom),total energy (eV per atom)
1,-235,-4.473
2,-332,-4.158